Entry from Alexandria: MgZr2CI after structural relaxation (PBE).

Cell and atoms, written as extended XYZ:
```
5
Lattice="5.417 0.000 0.000 0.000 5.417 0.000 0.000 0.000 4.222" Properties=species:S:1:pos:R:3 pbc="T T T"
Mg 0.000 0.000 0.000
Zr 0.000 2.708 2.111
Zr 2.708 0.000 2.111
C 2.708 2.708 0.000
I 2.708 2.708 2.111
```

Properties
E_form (uncorrected)   1.621 eV/atom